No. 1
RbYSi: optimized geometry, PBE.

Unit cell a=5.4942 b=12.0100 c=4.1812 alpha=81.14 beta=67.67 gamma=86.27
Site moments in Bohr magnetons follow the coordinates.
Element x y z (fractional)
Rb 0.2568 0.1685 0.7676  0.00
Rb 0.7432 0.8315 0.2324  0.00
Si 0.3555 0.4202 0.1075  -0.01
Y 0.2197 0.5821 0.6037  0.12
Y 0.7803 0.4179 0.3963  0.12
Si 0.6445 0.5798 0.8925  -0.01

mass density = 2.67 g/cm³
space group = P-1
E above lowest polymorph = 104.3 meV per atom
VASP energy = -4.472 eV per atom
size of the total moment = 0.289 μB per formula unit

***

No. 2
Li5PmAu6: optimized geometry, PBE.

Unit cell a=4.6432 b=7.3168 c=6.6266 alpha=90.00 beta=90.00 gamma=71.50
Element x y z (fractional)
Au 0.5000 0.0000 0.7197
Au 0.1745 0.6510 0.2697
Li 0.3377 0.3245 0.5000
Li 0.0000 0.0000 0.5000
Li 0.6623 0.6755 0.5000
Au 0.8255 0.3490 0.7303
Au 0.5000 0.0000 0.2803
Li 0.6769 0.6462 0.0000
Pm 0.0000 0.0000 0.0000
Li 0.3231 0.3538 0.0000
Au 0.8255 0.3490 0.2697
Au 0.1745 0.6510 0.7303

mass density = 10.59 g/cm³
space group = Cmmm
formation energy = -566 meV/atom
VASP energy = -3.398 eV per atom
size of the total moment = 0.000 μB per formula unit

***

No. 3
BaSrTc2: optimized geometry, PBE.

Unit cell a=3.3793 b=3.3793 c=9.2493 alpha=90.00 beta=90.00 gamma=90.04
Site moments in Bohr magnetons follow the coordinates.
Element x y z (fractional)
Tc 0.0000 0.0000 0.5075  2.03
Sr 0.5000 0.5000 0.7500  -0.02
Tc 0.0000 0.0000 0.9925  2.03
Ba 0.5000 0.5000 0.2500  -0.05

mass density = 6.62 g/cm³
space group = P4/mmm
formation energy = 1314 meV/atom
E above lowest polymorph = 1027.4 meV per atom
VASP energy = -4.770 eV per atom
size of the total moment = 4.475 μB per formula unit

***

No. 4
ZrTlF5: optimized geometry, PBE.

Unit cell a=8.1006 b=7.4593 c=8.0865 alpha=65.57 beta=90.00 gamma=90.00
Element x y z (fractional)
F 0.2043 0.2164 0.8290
F 0.4352 0.4998 0.7113
F 0.5021 0.6764 0.9343
F 0.7932 0.2040 0.3932
Zr 0.8384 0.4924 0.3383
F 0.7957 0.7836 0.1710
F 0.2891 0.5074 0.4376
Zr 0.1616 0.5077 0.6617
Zr 0.3384 0.5077 0.1617
F 0.9979 0.6764 0.4343
F 0.0021 0.3236 0.5657
F 0.7068 0.2040 0.8932
Tl 0.0406 0.0636 0.2026
Tl 0.4594 0.0636 0.7026
Tl 0.5406 0.9364 0.2974
Tl 0.9594 0.9364 0.7974
F 0.2957 0.2164 0.3290
F 0.9352 0.5002 0.7887
F 0.2068 0.7960 0.6068
Zr 0.6616 0.4924 0.8383
F 0.0648 0.4998 0.2113
F 0.7891 0.4926 0.0624
F 0.5648 0.5002 0.2887
F 0.4979 0.3236 0.0657
F 0.7109 0.4926 0.5624
F 0.2932 0.7960 0.1068
F 0.7043 0.7836 0.6710
F 0.2109 0.5074 0.9376

mass density = 5.83 g/cm³
space group = P2_1/c
E above lowest polymorph = 0.0 meV per atom
VASP energy = -6.085 eV per atom
size of the total moment = 0.000 μB per formula unit

***

No. 5
ZrInPd5: optimized geometry, PBE.

Unit cell a=4.0236 b=4.0236 c=7.8013 alpha=90.00 beta=90.00 gamma=90.00
Element x y z (fractional)
Pd 0.0000 0.5000 0.2354
Pd 0.5000 0.0000 0.7646
Pd 0.0000 0.5000 0.7646
Pd 0.5000 0.5000 0.5000
Pd 0.5000 0.0000 0.2354
In 0.0000 0.0000 0.5000
Zr 0.5000 0.5000 0.0000

mass density = 9.71 g/cm³
space group = P4/mmm
formation energy = -412 meV/atom
VASP energy = -5.734 eV per atom
size of the total moment = 0.000 μB per formula unit

***

No. 6
Tb3NdPd: optimized geometry, PBE.

Unit cell a=7.6267 b=7.6267 c=7.2389 alpha=102.82 beta=115.23 gamma=112.63
Element x y z (fractional)
Tb 0.3020 0.5737 0.8756
Tb 0.2350 0.4985 0.3331
Pd 0.6494 0.7256 0.3750
Tb 0.6980 0.4263 0.1244
Nd 0.2669 0.9583 0.2253
Tb 0.7650 0.5015 0.6669
Nd 0.7331 0.0417 0.7747
Tb 0.8346 0.0981 0.3331
Tb 0.1654 0.9019 0.6669
Pd 0.3506 0.2744 0.6250

mass density = 7.75 g/cm³
space group = C2/m
formation energy = -260 meV/atom
E above lowest polymorph = 65.3 meV per atom
VASP energy = -5.030 eV per atom
size of the total moment = 0.001 μB per formula unit